This record from Alexandria describes a geometry-optimized In2MoRhF structure. The functional is PBE+U.

abc: 5.1600 4.9584 5.1600
angles: 90.00 90.00 90.00
Fractional coordinates of all 5 atoms:
1 In 0.0000 0.0000 0.5000
2 In 0.5000 0.0000 0.0000
3 F 0.5000 0.5000 0.5000
4 Mo 0.0000 0.5000 0.0000
5 Rh 0.0000 0.0000 0.0000

Values from the calculation:
SG   No. 123
Total energy   -4.331 eV/atom
Energy above the most stable polymorph in this dataset   0.0 meV/atom
Fermi-level density of states   1.7 states/eV per cell